A relaxed structure of KCu2Rh, computed with PBE-GGA.

Unit cell a=5.1124 b=5.1124 c=5.1124 alpha=133.69 beta=133.69 gamma=67.57
Last column: nearest neighbours and their distance in Å.
Element x y z (fractional)
K1 0.0000 0.0000 0.0000  8 Cu 2.84-2.92, 4 Rh 2.92
Cu1 0.5000 0.5000 0.0000  4 K 2.84, 4 Cu 2.92, 4 Rh 2.92
Cu2 0.7500 0.2500 0.5000  4 Rh 2.84, 4 Cu 2.92, 4 K 2.92
Rh1 0.2500 0.7500 0.5000  8 Cu 2.84-2.92, 4 K 2.92

Values from the calculation:
- Calculated formation energy: 74 kJ/mol of atoms
- M_tot: 0.00 μB/f.u.
- SG: No. 119
- Density of states at the Fermi level: 2.03 states/eV/f.u.
- Energy above the lowest structure with this stoichiometry: 410 meV per atom
- ρ: 6505 kg/m³


A relaxed structure of KCu4Rh, computed with PBE-GGA.

Unit cell a=5.0641 b=5.0641 c=5.0641 alpha=60.00 beta=60.00 gamma=60.00
Last column: nearest neighbours and their distance in Å.
Element x y z (fractional)
K1 0.0000 0.0000 0.0000  12 Cu 2.97, 4 Rh 3.10
Cu1 0.3761 0.3761 0.3761  6 Cu 2.51-2.55
Cu2 0.3761 0.3761 0.8717  6 Cu 2.51-2.55
Cu3 0.3761 0.8717 0.3761  6 Cu 2.51-2.55
Cu4 0.8717 0.3761 0.3761  6 Cu 2.51-2.55
Rh1 0.7500 0.7500 0.7500  12 Cu 2.97, 4 K 3.10

Values from the calculation:
- Calculated formation energy: 40 kJ/mol of atoms
- M_tot: 0.00 μB/f.u.
- SG: No. 216
- Density of states at the Fermi level: 2.03 states/eV/f.u.
- ρ: 7164 kg/m³


A relaxed structure of KCuRh2, computed with PBE-GGA.

Unit cell a=2.8180 b=2.8180 c=8.7776 alpha=90.00 beta=90.00 gamma=90.00
Last column: nearest neighbours and their distance in Å.
Element x y z (fractional)
K1 0.0000 0.0000 0.0000  4 K 2.82
Cu1 0.0000 0.0000 0.5000  8 Rh 2.61, 4 Cu 2.82
Rh1 0.5000 0.5000 0.3084  4 Cu 2.61, 4 Rh 2.82
Rh2 0.5000 0.5000 0.6916  4 Cu 2.61, 4 Rh 2.82

Values from the calculation:
- Calculated formation energy: 50 kJ/mol of atoms
- M_tot: 1.35 μB/f.u.
- SG: No. 123
- Density of states at the Fermi level: 5.34 states/eV/f.u.
- Energy above the lowest structure with this stoichiometry: 116 meV per atom
- ρ: 7348 kg/m³


A relaxed structure of KCuRh2, computed with PBE-GGA.

Unit cell a=3.9260 b=3.9260 c=4.5618 alpha=90.00 beta=90.00 gamma=90.00
Last column: nearest neighbours and their distance in Å.
Element x y z (fractional)
K1 0.0000 0.0000 0.0000  4 Cu 2.78, 8 Rh 3.01
Cu1 0.5000 0.5000 0.0000  4 K 2.78, 8 Rh 3.01
Rh1 0.0000 0.5000 0.5000  4 Rh 2.78, 4 Cu 3.01, 4 K 3.01
Rh2 0.5000 0.0000 0.5000  4 Rh 2.78, 4 Cu 3.01, 4 K 3.01

Values from the calculation:
- Calculated formation energy: 83 kJ/mol of atoms
- M_tot: 1.66 μB/f.u.
- SG: No. 123
- Density of states at the Fermi level: 4.41 states/eV/f.u.
- Energy above the lowest structure with this stoichiometry: 462 meV per atom
- ρ: 7285 kg/m³


A relaxed structure of KCu2Rh, computed with PBE-GGA.

Unit cell a=4.5843 b=4.5843 c=4.5843 alpha=60.00 beta=60.00 gamma=60.00
Last column: nearest neighbours and their distance in Å.
Element x y z (fractional)
K1 0.0000 0.0000 0.0000  4 Cu 2.81, 4 Rh 2.81
Cu1 0.2500 0.2500 0.2500  4 Cu 2.81, 4 K 2.81
Cu2 0.5000 0.5000 0.5000  4 Rh 2.81, 4 Cu 2.81
Rh1 0.7500 0.7500 0.7500  4 K 2.81, 4 Cu 2.81

Values from the calculation:
- Calculated formation energy: 77 kJ/mol of atoms
- M_tot: 0.00 μB/f.u.
- SG: No. 216
- Density of states at the Fermi level: 0.94 states/eV/f.u.
- Energy above the lowest structure with this stoichiometry: 444 meV per atom
- ρ: 6559 kg/m³


A relaxed structure of KCuRh2, computed with PBE-GGA.

Unit cell a=2.7544 b=2.7544 c=9.7023 alpha=90.00 beta=90.00 gamma=115.14
Last column: nearest neighbours and their distance in Å.
Element x y z (fractional)
K1 0.0000 0.0000 0.0000  6 K 2.75-2.95
Cu1 0.0000 0.0000 0.5000  4 Rh 2.55, 4 Cu 2.75
Rh1 0.5000 0.5000 0.2864  2 Cu 2.55, 4 Rh 2.75
Rh2 0.5000 0.5000 0.7136  2 Cu 2.55, 4 Rh 2.75

Values from the calculation:
- Calculated formation energy: 53 kJ/mol of atoms
- M_tot: 1.07 μB/f.u.
- SG: No. 65
- Density of states at the Fermi level: 5.77 states/eV/f.u.
- Energy above the lowest structure with this stoichiometry: 149 meV per atom
- ρ: 7687 kg/m³


A relaxed structure of KCuRh2, computed with PBE-GGA.

Unit cell a=2.7334 b=4.3440 c=6.6759 alpha=90.00 beta=100.66 gamma=90.00
Last column: nearest neighbours and their distance in Å.
Element x y z (fractional)
K1 0.0000 0.0000 0.0000  2 K 2.73
Cu1 0.5000 0.0000 0.5000  4 Rh 2.54, 2 Cu 2.73
Rh1 0.3091 0.5000 0.6678  2 Cu 2.54, 4 Rh 2.54-2.73
Rh2 0.6909 0.5000 0.3322  2 Cu 2.54, 4 Rh 2.54-2.73

Values from the calculation:
- Calculated formation energy: 55 kJ/mol of atoms
- M_tot: 0.71 μB/f.u.
- SG: No. 10
- Density of states at the Fermi level: 7.54 states/eV/f.u.
- Energy above the lowest structure with this stoichiometry: 168 meV per atom
- ρ: 6575 kg/m³


A relaxed structure of KCu2Rh, computed with PBE-GGA.

Unit cell a=2.9224 b=3.5480 c=7.2885 alpha=90.00 beta=90.18 gamma=90.00
Last column: nearest neighbours and their distance in Å.
Element x y z (fractional)
K1 0.0000 0.0000 0.0000  2 K 2.92
Cu1 0.4990 0.5000 0.3334  1 Cu 2.43, 4 Rh 2.60
Cu2 0.5010 0.5000 0.6666  1 Cu 2.43, 4 Rh 2.60
Rh1 0.0000 0.0000 0.5000  8 Cu 2.60

Values from the calculation:
- Calculated formation energy: 34 kJ/mol of atoms
- M_tot: 0.00 μB/f.u.
- SG: No. 10
- Density of states at the Fermi level: 3.96 states/eV/f.u.
- Energy above the lowest structure with this stoichiometry: 0 meV per atom
- ρ: 5913 kg/m³